Density functional theory data (GGA-PBEsol) for a relaxed Cd2HgBi2 crystal.

Calculated values
For the formation energy, the calculation gives 0.09 eV per atom. The calculation puts the uncorrected energy at -2.217 eV per atom.

```
data_Cd2HgBi2
_chemical_formula_sum 'Cd4 Hg2 Bi4'
_cell_length_a 4.1583
_cell_length_b 4.1583
_cell_length_c 15.8597
_cell_angle_alpha 90.00
_cell_angle_beta 90.00
_cell_angle_gamma 90.00
_symmetry_space_group_name_H-M 'I 4/m m m'
_symmetry_Int_Tables_number 139
_symmetry_space_group_name_Hall '-I 4 2'
loop_
_atom_site_label
_atom_site_type_symbol
_atom_site_fract_x
_atom_site_fract_y
_atom_site_fract_z
_atom_site_occupancy
Cd1 Cd 0.0000 0.5000 0.2500 1
Hg1 Hg 0.0000 0.0000 0.0000 1
Bi1 Bi 0.0000 0.0000 0.3909 1
```

=====

Density functional theory data (GGA-PBEsol) for a relaxed ZrCd2B2 crystal.

Calculated values
For the formation energy, the calculation gives 0.15 eV per atom. The calculation puts the uncorrected energy at -4.951 eV per atom.

```
data_ZrCd2B2
_chemical_formula_sum 'Zr2 Cd4 B4'
_cell_length_a 3.7497
_cell_length_b 3.7497
_cell_length_c 10.0115
_cell_angle_alpha 90.00
_cell_angle_beta 90.00
_cell_angle_gamma 90.00
_symmetry_space_group_name_H-M 'I 4/m m m'
_symmetry_Int_Tables_number 139
_symmetry_space_group_name_Hall '-I 4 2'
loop_
_atom_site_label
_atom_site_type_symbol
_atom_site_fract_x
_atom_site_fract_y
_atom_site_fract_z
_atom_site_occupancy
Zr1 Zr 0.0000 0.0000 0.0000 1
Cd1 Cd 0.0000 0.5000 0.2500 1
B1 B 0.0000 0.0000 0.4180 1
```

=====

Density functional theory data (GGA-PBEsol) for a relaxed RhAuSe2Br crystal.

Calculated values
The calculation puts the uncorrected energy at -3.788 eV per atom. Its raw formation energy is 538 meV/atom.

```
data_RhAuSe2Br
_chemical_formula_sum 'Rh1 Au1 Se2 Br1'
_cell_length_a 4.7459
_cell_length_b 4.7459
_cell_length_c 5.0242
_cell_angle_alpha 90.00
_cell_angle_beta 90.00
_cell_angle_gamma 90.00
_symmetry_space_group_name_H-M 'P 4/m m m'
_symmetry_Int_Tables_number 123
_symmetry_space_group_name_Hall '-P 4 2'
loop_
_atom_site_label
_atom_site_type_symbol
_atom_site_fract_x
_atom_site_fract_y
_atom_site_fract_z
_atom_site_occupancy
Rh1 Rh 0.0000 0.0000 0.0000 1
Au1 Au 0.5000 0.5000 0.5000 1
Se1 Se 0.0000 0.5000 0.0000 1
Br1 Br 0.0000 0.0000 0.5000 1
```

=====

Density functional theory data (GGA-PBEsol) for a relaxed TlAgF2 crystal.

Calculated values
The calculation puts the uncorrected energy at -3.669 eV per atom. Its raw formation energy is -1220 meV/atom.

```
data_TlAgF2
_chemical_formula_sum 'Tl4 Ag4 F8'
_cell_length_a 4.7057
_cell_length_b 4.7057
_cell_length_c 13.9370
_cell_angle_alpha 90.00
_cell_angle_beta 90.00
_cell_angle_gamma 90.00
_symmetry_space_group_name_H-M 'I -4 2 d'
_symmetry_Int_Tables_number 122
_symmetry_space_group_name_Hall 'I -4 2bw'
loop_
_atom_site_label
_atom_site_type_symbol
_atom_site_fract_x
_atom_site_fract_y
_atom_site_fract_z
_atom_site_occupancy
Tl1 Tl 0.0000 0.0000 0.0000 1
Ag1 Ag 0.0000 0.0000 0.5000 1
F1 F 0.1897 0.2500 0.6250 1
```

=====

Density functional theory data (GGA-PBEsol) for a relaxed AlRuPb2 crystal.

Calculated values
For the formation energy, the calculation gives 0.50 eV per atom. The calculation puts the uncorrected energy at -5.062 eV per atom.

```
data_AlRuPb2
_chemical_formula_sum 'Al2 Ru2 Pb4'
_cell_length_a 3.8580
_cell_length_b 5.0332
_cell_length_c 8.4389
_cell_angle_alpha 90.00
_cell_angle_beta 90.00
_cell_angle_gamma 90.00
_symmetry_space_group_name_H-M 'I m m m'
_symmetry_Int_Tables_number 71
_symmetry_space_group_name_Hall '-I 2 2'
loop_
_atom_site_label
_atom_site_type_symbol
_atom_site_fract_x
_atom_site_fract_y
_atom_site_fract_z
_atom_site_occupancy
Al1 Al 0.0000 0.0000 0.0000 1
Ru1 Ru 0.0000 0.0000 0.5000 1
Pb1 Pb 0.0000 0.5000 0.2406 1
```

=====

Density functional theory data (GGA-PBEsol) for a relaxed LaNb2AgO7 crystal.

Calculated values
The calculation puts the uncorrected energy at -8.531 eV per atom. Its raw formation energy is -2436 meV/atom.

```
data_LaNb2AgO7
_chemical_formula_sum 'La2 Nb4 Ag2 O14'
_cell_length_a 3.9041
_cell_length_b 3.9041
_cell_length_c 21.0809
_cell_angle_alpha 90.00
_cell_angle_beta 90.00
_cell_angle_gamma 90.00
_symmetry_space_group_name_H-M 'I -4 m 2'
_symmetry_Int_Tables_number 119
_symmetry_space_group_name_Hall 'I -4 -2'
loop_
_atom_site_label
_atom_site_type_symbol
_atom_site_fract_x
_atom_site_fract_y
_atom_site_fract_z
_atom_site_occupancy
La1 La 0.0000 0.0000 0.0000 1
Nb1 Nb 0.0000 0.0000 0.3937 1
Ag1 Ag 0.0000 0.5000 0.2500 1
O1 O 0.0000 0.0000 0.3076 1
O2 O 0.0000 0.0000 0.5000 1
O3 O 0.0000 0.5000 0.0861 1
O4 O 0.0000 0.5000 0.5849 1
```

=====

Density functional theory data (GGA-PBEsol) for a relaxed CoReIN2 crystal.

Calculated values
The calculation puts the uncorrected energy at -6.068 eV per atom. Its raw formation energy is 1910 meV/atom.

```
data_CoReIN2
_chemical_formula_sum 'Co1 Re1 I1 N2'
_cell_length_a 3.7238
_cell_length_b 3.7238
_cell_length_c 5.0978
_cell_angle_alpha 90.00
_cell_angle_beta 90.00
_cell_angle_gamma 90.00
_symmetry_space_group_name_H-M 'P 4/m m m'
_symmetry_Int_Tables_number 123
_symmetry_space_group_name_Hall '-P 4 2'
loop_
_atom_site_label
_atom_site_type_symbol
_atom_site_fract_x
_atom_site_fract_y
_atom_site_fract_z
_atom_site_occupancy
Co1 Co 0.0000 0.0000 0.0000 1
Re1 Re 0.5000 0.5000 0.5000 1
I1 I 0.0000 0.0000 0.5000 1
N1 N 0.0000 0.5000 0.0000 1
```

=====

Density functional theory data (GGA-PBEsol) for a relaxed OsO4 crystal.

Calculated values
The calculation puts the uncorrected energy at -7.482 eV per atom. Its raw formation energy is -839 meV/atom.

```
data_OsO4
_chemical_formula_sum 'Os2 O8'
_cell_length_a 4.6554
_cell_length_b 4.6554
_cell_length_c 7.9671
_cell_angle_alpha 90.00
_cell_angle_beta 90.00
_cell_angle_gamma 90.00
_symmetry_space_group_name_H-M 'I -4 2 m'
_symmetry_Int_Tables_number 121
_symmetry_space_group_name_Hall 'I -4 2'
loop_
_atom_site_label
_atom_site_type_symbol
_atom_site_fract_x
_atom_site_fract_y
_atom_site_fract_z
_atom_site_occupancy
Os1 Os 0.0000 0.0000 0.0000 1
O1 O 0.2135 0.2135 0.8764 1
```

=====

Density functional theory data (GGA-PBEsol) for a relaxed TcSbI2O crystal.

Calculated values
The calculation puts the uncorrected energy at -3.991 eV per atom. Its raw formation energy is 930 meV/atom.

```
data_TcSbI2O
_chemical_formula_sum 'Tc1 Sb1 I2 O1'
_cell_length_a 5.0783
_cell_length_b 5.0783
_cell_length_c 4.4390
_cell_angle_alpha 90.00
_cell_angle_beta 90.00
_cell_angle_gamma 90.00
_symmetry_space_group_name_H-M 'P 4/m m m'
_symmetry_Int_Tables_number 123
_symmetry_space_group_name_Hall '-P 4 2'
loop_
_atom_site_label
_atom_site_type_symbol
_atom_site_fract_x
_atom_site_fract_y
_atom_site_fract_z
_atom_site_occupancy
Tc1 Tc 0.0000 0.0000 0.0000 1
Sb1 Sb 0.5000 0.5000 0.0000 1
I1 I 0.0000 0.5000 0.5000 1
O1 O 0.5000 0.5000 0.5000 1
```

=====

Density functional theory data (GGA-PBEsol) for a relaxed NiSbI2Cl crystal.

Calculated values
The calculation puts the uncorrected energy at -3.123 eV per atom. Its raw formation energy is 128 meV/atom.

```
data_NiSbI2Cl
_chemical_formula_sum 'Ni1 Sb1 I2 Cl1'
_cell_length_a 5.0715
_cell_length_b 5.0715
_cell_length_c 5.0329
_cell_angle_alpha 90.00
_cell_angle_beta 90.00
_cell_angle_gamma 90.00
_symmetry_space_group_name_H-M 'P 4/m m m'
_symmetry_Int_Tables_number 123
_symmetry_space_group_name_Hall '-P 4 2'
loop_
_atom_site_label
_atom_site_type_symbol
_atom_site_fract_x
_atom_site_fract_y
_atom_site_fract_z
_atom_site_occupancy
Ni1 Ni 0.0000 0.0000 0.0000 1
Sb1 Sb 0.0000 0.0000 0.5000 1
I1 I 0.0000 0.5000 0.0000 1
Cl1 Cl 0.5000 0.5000 0.5000 1
```

=====

Density functional theory data (GGA-PBEsol) for a relaxed K3CrO4 crystal.

Calculated values
The calculation puts the uncorrected energy at -6.138 eV per atom. Its raw formation energy is -1808 meV/atom.

```
data_K3CrO4
_chemical_formula_sum 'K6 Cr2 O8'
_cell_length_a 6.4683
_cell_length_b 6.4683
_cell_length_c 6.9342
_cell_angle_alpha 90.00
_cell_angle_beta 90.00
_cell_angle_gamma 90.00
_symmetry_space_group_name_H-M 'I -4 2 m'
_symmetry_Int_Tables_number 121
_symmetry_space_group_name_Hall 'I -4 2'
loop_
_atom_site_label
_atom_site_type_symbol
_atom_site_fract_x
_atom_site_fract_y
_atom_site_fract_z
_atom_site_occupancy
K1 K 0.0000 0.0000 0.0000 1
K2 K 0.0000 0.5000 0.2500 1
Cr1 Cr 0.0000 0.0000 0.5000 1
O1 O 0.1538 0.1538 0.3606 1
```

=====

Density functional theory data (GGA-PBEsol) for a relaxed LaTaSb3 crystal.

Calculated values
The calculation puts the uncorrected energy at -4.677 eV per atom. Its raw formation energy is 1637 meV/atom.

```
data_LaTaSb3
_chemical_formula_sum 'La1 Ta1 Sb3'
_cell_length_a 5.7348
_cell_length_b 5.7348
_cell_length_c 5.7348
_cell_angle_alpha 90.00
_cell_angle_beta 90.00
_cell_angle_gamma 90.00
_symmetry_space_group_name_H-M 'P m -3 m'
_symmetry_Int_Tables_number 221
_symmetry_space_group_name_Hall '-P 4 2 3'
loop_
_atom_site_label
_atom_site_type_symbol
_atom_site_fract_x
_atom_site_fract_y
_atom_site_fract_z
_atom_site_occupancy
La1 La 0.0000 0.0000 0.0000 1
Ta1 Ta 0.5000 0.5000 0.5000 1
Sb1 Sb 0.0000 0.0000 0.5000 1
```

=====

Density functional theory data (GGA-PBEsol) for a relaxed YScCr2Si crystal.

Calculated values
The calculation puts the uncorrected energy at -6.094 eV per atom. Its raw formation energy is 1837 meV/atom.

```
data_YScCr2Si
_chemical_formula_sum 'Y1 Sc1 Cr2 Si1'
_cell_length_a 4.5897
_cell_length_b 4.5897
_cell_length_c 5.0598
_cell_angle_alpha 90.00
_cell_angle_beta 90.00
_cell_angle_gamma 90.00
_symmetry_space_group_name_H-M 'P 4/m m m'
_symmetry_Int_Tables_number 123
_symmetry_space_group_name_Hall '-P 4 2'
loop_
_atom_site_label
_atom_site_type_symbol
_atom_site_fract_x
_atom_site_fract_y
_atom_site_fract_z
_atom_site_occupancy
Y1 Y 0.0000 0.0000 0.0000 1
Sc1 Sc 0.0000 0.0000 0.5000 1
Cr1 Cr 0.0000 0.5000 0.0000 1
Si1 Si 0.5000 0.5000 0.5000 1
```